# 1
A relaxed ZrTcBr2 crystal, computed with GGA-PBE.

The calculation puts the size of the total moment at 0.0000 μB/atom. For the formation energy (no corrections), the calculation gives -0.1225 eV per atom. Its calculated volume is 23.8 Å³/atom. Its calculated total energy is -5.69 eV per atom.

CIF file:
```
data_ZrTcBr2
_cell_length_a 3.315
_cell_length_b 4.365
_cell_length_c 13.158
_cell_angle_alpha 90.00
_cell_angle_beta 90.00
_cell_angle_gamma 90.00
_symmetry_space_group_name_H-M 'I m m 2'
_symmetry_Int_Tables_number 44
_symmetry_space_group_name_Hall 'I 2 -2'
loop_
_atom_site_label
_atom_site_type_symbol
_atom_site_fract_x
_atom_site_fract_y
_atom_site_fract_z
Zr1 Zr 0.000 0.000 0.000
Tc1 Tc 0.000 0.500 0.355
Br1 Br 0.000 0.000 0.611
Br2 Br 0.000 0.500 0.853
```



# 2
A relaxed Zr2TcBr crystal, computed with GGA-PBE.

The calculation puts the size of the total moment at 0.0000 μB/atom. For the formation energy (no corrections), the calculation gives 0.1144 eV per atom. Its calculated volume is 19.3 Å³/atom. Its calculated total energy is -7.17 eV per atom.

CIF file:
```
data_Zr2TcBr
_cell_length_a 3.876
_cell_length_b 3.876
_cell_length_c 10.272
_cell_angle_alpha 90.00
_cell_angle_beta 90.00
_cell_angle_gamma 90.00
_symmetry_space_group_name_H-M 'I -4 m 2'
_symmetry_Int_Tables_number 119
_symmetry_space_group_name_Hall 'I -4 -2'
loop_
_atom_site_label
_atom_site_type_symbol
_atom_site_fract_x
_atom_site_fract_y
_atom_site_fract_z
Zr1 Zr 0.000 0.000 0.000
Zr2 Zr 0.000 0.500 0.250
Tc1 Tc 0.000 0.000 0.500
Br1 Br 0.000 0.500 0.750
```



# 3
A relaxed ZrTcBr2 crystal, computed with GGA-PBE.

The calculation puts the size of the total moment at 0.2329 μB/atom. For the formation energy (no corrections), the calculation gives -0.3231 eV per atom. Its calculated volume is 27.6 Å³/atom. Its calculated total energy is -5.89 eV per atom.

CIF file:
```
data_ZrTcBr2
_cell_length_a 15.113
_cell_length_b 3.370
_cell_length_c 4.348
_cell_angle_alpha 90.00
_cell_angle_beta 93.99
_cell_angle_gamma 90.00
_symmetry_space_group_name_H-M 'C 1 2/m 1'
_symmetry_Int_Tables_number 12
_symmetry_space_group_name_Hall '-C 2y'
loop_
_atom_site_label
_atom_site_type_symbol
_atom_site_fract_x
_atom_site_fract_y
_atom_site_fract_z
Zr1 Zr 0.000 0.000 0.000
Tc1 Tc 0.000 0.500 0.500
Br1 Br 0.142 0.500 0.215
```



| no. | distance to the lowest polymorph of the same formula (meV/atom) |
| --- | --- |
| 1 | 230.6 |
| 2 | 620.5 |
| 3 | 30.0 |